Material: CaIn4Se
Method: DFT, PBE
State: relaxed

Calculated values
The raw formation energy comes out at -133 meV per atom.

abc: 8.723 8.723 8.723
angles: 90.00 90.00 90.00
Space group F-43m (No. 216)
Asymmetric unit:
Ca: 0.000 0.000 0.000 (multiplicity 4)
In: 0.125 0.125 0.625 (multiplicity 16)
Se: 0.250 0.250 0.250 (multiplicity 4)


Material: PmNi2B
Method: DFT, PBE
State: relaxed

Calculated values
As for the energy above the most stable polymorph in this dataset: 148 meV/atom. For the formation energy from the elements, the calculation gives -0.267 eV per atom.

abc: 3.6869 3.6869 14.8373
angles: 90.00 90.00 120.00
Space group R-3m (No. 166, hexagonal axes)
Asymmetric unit:
Pm: 0.0000 0.0000 0.0000 (multiplicity 3)
Ni: 0.0000 0.0000 0.1991 (multiplicity 6)
B: 0.0000 0.0000 0.5000 (multiplicity 3)


Material: MgHPdPt
Method: DFT, PBE
State: relaxed

Calculated values
The calculation puts the final energy at -4.444 eV/atom.

abc: 12.144 2.914 2.915
angles: 90.00 103.58 90.00
Space group Cm (No. 8)
Asymmetric unit:
Mg: 0.000 0.000 0.000 (multiplicity 2)
H: 0.305 0.500 0.867 (multiplicity 2)
Pd: 0.331 0.000 0.327 (multiplicity 2)
Pt: 0.147 0.500 0.646 (multiplicity 2)


Material: DyThSb2N
Method: DFT, PBE
State: relaxed

Calculated values
The raw formation energy comes out at -992 meV per atom.

abc: 4.170 4.170 14.752
angles: 90.00 90.00 90.00
Space group P4/nmm (No. 129, origin choice 2)
Asymmetric unit:
Dy: 0.250 0.250 0.072 (multiplicity 2)
Th: 0.250 0.250 0.575 (multiplicity 2)
Sb: 0.250 0.250 0.277 (multiplicity 2)
Sb: 0.250 0.250 0.860 (multiplicity 2)
N: 0.250 0.750 0.500 (multiplicity 2)


Material: Tb2Pm6Ga
Method: DFT, PBE
State: relaxed

Calculated values
For the formation energy from the elements, the calculation gives 0.026 eV per atom.

abc: 17.404 9.429 3.592
angles: 90.00 90.41 90.00
Space group C2/m (No. 12)
Asymmetric unit:
Tb: 0.176 0.000 0.496 (multiplicity 4)
Pm: 0.000 0.219 0.500 (multiplicity 4)
Pm: 0.163 0.330 0.997 (multiplicity 8)
Ga: 0.000 0.500 0.000 (multiplicity 2)


Material: NaAl3Mo
Method: DFT, PBE
State: relaxed

Calculated values
As for the energy above the most stable polymorph in this dataset: 0 meV/atom. For the formation energy from the elements, the calculation gives 0.300 eV per atom.

abc: 4.913 4.913 4.913
angles: 90.00 90.00 90.00
Space group Pm-3m (No. 221)
Asymmetric unit:
Na: 0.000 0.000 0.000 (multiplicity 1)
Al: 0.000 0.500 0.500 (multiplicity 3)
Mo: 0.500 0.500 0.500 (multiplicity 1)